{
  "formula": "BaLaTi2Fe",
  "functional": "PBE-GGA",
  "state": "optimized geometry",
  "lattice": [[4.9130, 0.0000, 0.0000], [0.0000, 5.3578, 0.0000], [0.0000, 0.0000, 4.9130]],
  "species": ["Ba", "Fe", "Ti", "Ti", "La"],
  "frac_coords": [[0.5000, 0.5000, 0.5000], [0.0000, 0.0000, 0.0000], [0.0000, 0.0000, 0.5000], [0.5000, 0.0000, 0.0000], [0.0000, 0.5000, 0.0000]],
  "formation_enthalpy_0k_ev_per_atom": 0.42,
  "de_polymorph_ev_per_fu": 0.00,
  "e_tot_ev_per_atom": -5.80
}